Entry 1:
First-principles (PBE-GGA) data for Ti6VMo2 after structural relaxation, as listed in Alexandria via LeMat-Bulk.

a = 14.0513 Å, b = 2.6980 Å, c = 9.3564 Å
α = 90.00°, β = 123.39°, γ = 90.00°
Space group C2/m (No. 12)
Asymmetric unit:
Ti1 0.0512 0.0000 0.2676 x4
Ti2 0.1128 0.5000 0.0515 x4
Ti3 0.2210 0.0000 0.6155 x4
V1 0.0000 0.0000 0.5000 x2
Mo1 0.1638 0.5000 0.8259 x4

V: 296.2 Å³/cell
formation energy from the elements: 0.15 eV/atom
magnetization: 0.07 Bohr magnetons per cell
DOS at the Fermi energy: 21.83 states/eV/cell
E above lowest polymorph: 1.02 eV per formula unit

***

Entry 2:
First-principles (PBE-GGA) data for TiV2Mo after structural relaxation, as listed in Alexandria via LeMat-Bulk.

a = 2.6898 Å, b = 4.6314 Å, c = 10.0829 Å
α = 90.00°, β = 90.00°, γ = 90.00°
Space group Immm (No. 71)
Asymmetric unit:
Ti1 0.0000 0.0000 0.0000 x2
V1 0.0000 0.0000 0.2520 x4
Mo1 0.0000 0.0000 0.5000 x2

V: 125.6 Å³/cell
formation energy from the elements: 0.53 eV/atom
magnetization: 0.00 Bohr magnetons per cell
DOS at the Fermi energy: 10.26 states/eV/cell
E above lowest polymorph: 2.31 eV per formula unit

***

Entry 3:
First-principles (PBE-GGA) data for TiV6Mo5 after structural relaxation, as listed in Alexandria via LeMat-Bulk.

a = 4.3614 Å, b = 13.0607 Å, c = 6.1544 Å
α = 90.00°, β = 90.00°, γ = 90.00°
Space group Cmmm (No. 65)
Asymmetric unit:
Ti1 0.0000 0.0000 0.0000 x2
V1 0.0000 0.1689 0.2522 x8
V2 0.0000 0.5000 0.2549 x4
Mo1 0.0000 0.0000 0.5000 x2
Mo2 0.0000 0.3332 0.5000 x4
Mo3 0.0000 0.3359 0.0000 x4

V: 350.6 Å³/cell
formation energy from the elements: -0.10 eV/atom
magnetization: 0.00 Bohr magnetons per cell
DOS at the Fermi energy: 29.72 states/eV/cell

***

Entry 4:
First-principles (PBE-GGA) data for TiV4Mo2 after structural relaxation, as listed in Alexandria via LeMat-Bulk.

a = 4.3409 Å, b = 4.3409 Å, c = 12.5214 Å
α = 90.00°, β = 90.00°, γ = 90.00°
Space group I4/mmm (No. 139)
Asymmetric unit:
Ti1 0.0000 0.0000 0.0000 x2
V1 0.0000 0.0000 0.1931 x4
V2 0.0000 0.5000 0.0000 x4
Mo1 0.0000 0.0000 0.3716 x4

V: 235.9 Å³/cell
formation energy from the elements: 1.07 eV/atom
magnetization: 0.07 Bohr magnetons per cell
DOS at the Fermi energy: 22.12 states/eV/cell
E above lowest polymorph: 5.18 eV per formula unit

***

Entry 5:
First-principles (PBE-GGA) data for Ti2VMo3 after structural relaxation, as listed in Alexandria via LeMat-Bulk.

a = 8.2416 Å, b = 9.3096 Å, c = 5.0909 Å
α = 90.00°, β = 90.00°, γ = 90.00°
Space group Cmcm (No. 63)
Asymmetric unit:
Ti1 0.1626 0.2235 0.2500 x8
V1 0.0000 0.3178 0.7500 x4
Mo1 0.0000 0.0621 0.7500 x4
Mo2 0.1823 0.5000 0.0000 x8

V: 390.6 Å³/cell
formation energy from the elements: 0.19 eV/atom
magnetization: 0.00 Bohr magnetons per cell
DOS at the Fermi energy: 28.68 states/eV/cell
E above lowest polymorph: 1.56 eV per formula unit

***

Entry 6:
First-principles (PBE-GGA) data for TiV6Mo3 after structural relaxation, as listed in Alexandria via LeMat-Bulk.

a = 7.5500 Å, b = 4.3231 Å, c = 9.2019 Å
α = 90.00°, β = 105.37°, γ = 90.00°
Space group P2_1/m (No. 11)
Asymmetric unit:
Ti1 0.0493 0.2500 0.3988 x2
V1 0.0514 0.7500 0.9043 x2
V2 0.1447 0.7500 0.2088 x2
V3 0.1600 0.2500 0.7101 x2
V4 0.2617 0.7500 0.5030 x2
V5 0.3496 0.2500 0.2973 x2
V6 0.4476 0.7500 0.0991 x2
Mo1 0.2453 0.2500 0.0051 x2
Mo2 0.3481 0.7500 0.8019 x2
Mo3 0.4505 0.2500 0.6010 x2

V: 289.6 Å³/cell
formation energy from the elements: -0.06 eV/atom
magnetization: 0.00 Bohr magnetons per cell
DOS at the Fermi energy: 28.17 states/eV/cell
E above lowest polymorph: 0.00 eV per formula unit